1.
A plane-wave DFT calculation with PBE+U was carried out for a relaxed structure of KCo2Mo2O10.

Cell and atoms, written as POSCAR:
```
KCo2Mo2O10
1.0
-3.002 2.904 4.152
-5.869 0.284 -0.397
-4.035 -5.367 5.634
K Co Mo O
1 2 2 10
Cartesian
-6.454 -1.090 4.695
-2.935 0.142 -0.199
-1.501 1.452 2.076
-3.583 -3.937 4.526
-9.324 1.758 4.864
-7.853 -3.512 4.981
-6.402 -2.185 7.284
-5.054 1.332 4.408
-6.505 0.006 2.105
-5.007 -4.336 5.652
-7.900 2.156 3.737
-2.974 0.563 1.550
-9.933 -2.743 7.839
-3.903 -2.378 3.829
-9.004 0.199 5.560
```

D(E_F): 0.027 states/eV per atom
Space-group type: C2/m

2.
A plane-wave DFT calculation with PBE+U was carried out for a relaxed structure of KCoMoO4.

Cell and atoms, written as POSCAR:
```
KCoMoO4
1.0
6.686 0.000 -0.025
0.000 6.078 0.000
-2.582 0.000 6.580
K Co Mo O
2 2 2 8
Cartesian
4.912 4.558 0.078
-0.808 1.519 6.477
3.260 4.558 3.537
0.845 1.519 3.018
1.044 4.558 2.343
3.060 1.519 4.212
3.953 3.011 4.753
0.151 6.050 1.802
0.151 3.066 1.802
3.953 0.028 4.753
2.737 4.558 1.588
1.367 1.519 4.967
1.218 4.558 4.157
2.887 1.519 2.398
```

Space-group type: P2_1/m

3.
A plane-wave DFT calculation with PBE+U was carried out for a relaxed structure of K4CoMo3O12.

Cell and atoms, written as POSCAR:
```
K4CoMo3O12
1.0
-0.074 8.003 -0.759
-9.121 -2.582 3.416
4.664 -2.098 8.785
K Co Mo O
8 2 6 24
Cartesian
-2.229 -2.340 6.100
-5.414 -0.691 4.611
0.882 4.014 6.830
4.276 -0.089 8.407
-8.808 3.412 3.035
-3.239 4.009 1.417
-1.293 -0.686 10.025
-2.266 1.662 5.721
1.185 0.427 3.311
-5.716 2.896 8.130
0.993 -0.200 6.617
-5.525 3.523 4.824
-2.233 -0.124 2.217
-2.298 3.447 9.224
0.576 3.873 2.980
-5.108 -0.550 8.461
-0.390 -0.875 7.509
-4.141 4.198 3.932
-2.760 -0.424 3.906
-1.771 3.747 7.535
1.552 1.241 7.509
-6.083 2.082 3.933
-0.429 0.169 2.080
-4.102 3.154 9.361
0.216 0.244 5.021
-4.748 3.079 6.421
-3.092 1.301 1.574
-1.439 2.022 9.868
-2.676 6.457 0.434
-1.856 -3.134 11.008
1.524 2.329 2.766
-6.055 0.994 8.675
1.688 5.272 3.234
-6.219 -1.949 8.207
-0.400 4.131 1.499
-4.131 -0.808 9.942
-0.524 3.735 4.384
-4.007 -0.412 7.058
2.260 -1.519 6.675
-6.792 4.842 4.766
```

D(E_F): 0.000 states/eV per atom
Space-group type: P-1

In the order shown, the computed calculated total energy values come out to -6.30, -6.10, -6.29 eV/atom.